# 1
## Re4TcOs (GGA-PBE)

Data for an optimized crystal structure of Re4TcOs.

Calculated values
offset from the most stable computed form: 256 meV/atom
mass density: 18347 kg/m3
total magnetization: 0.00 μB per cell
formation energy: 0.40 eV per atom

a b c (Å): 5.095 5.095 5.095
angles (deg): 60.00 60.00 60.00
Fractional positions:
Re 0.375 0.375 0.875
Re 0.375 0.375 0.375
Re 0.375 0.875 0.375
Os 0.000 0.000 0.000
Tc 0.750 0.750 0.750
Re 0.875 0.375 0.375



# 2
## CrInReP (GGA-PBE)

Data for an optimized crystal structure of CrInReP.

Calculated values
offset from the most stable computed form: 141 meV/atom
mass density: 9979 kg/m3
total magnetization: 0.00 μB per cell
formation energy: 0.16 eV per atom

a b c (Å): 8.555 3.048 4.983
angles (deg): 90.00 100.40 90.00
Fractional positions:
P 0.747 0.000 0.278
Cr 0.568 0.500 0.068
Re 0.339 0.000 0.120
In 0.060 0.500 0.871
Re 0.339 0.500 0.620
Cr 0.568 0.000 0.568
In 0.060 0.000 0.371
P 0.747 0.500 0.778



# 3
## CdAs2Ru (GGA-PBE)

Data for an optimized crystal structure of CdAs2Ru.

Calculated values
mass density: 7589 kg/m3
total magnetization: 0.00 μB per cell
formation energy: -0.05 eV per atom

a b c (Å): 4.549 4.549 6.532
angles (deg): 69.34 69.34 39.37
Fractional positions:
As 0.780 0.780 0.761
Ru 0.218 0.218 0.087
Cd 0.582 0.582 0.513
As 0.920 0.920 0.139



# 4
## CaMgTi (GGA-PBE)

Data for an optimized crystal structure of CaMgTi.

Calculated values
offset from the most stable computed form: 1566 meV/atom
mass density: 1271 kg/m3
total magnetization: 6.93 μB per cell
formation energy: 1.82 eV per atom

a b c (Å): 5.334 5.334 11.900
angles (deg): 90.00 90.00 120.00
Each line ends with the local moment (μB).
Fractional positions:
Ti 0.000 0.000 0.500  2.10
Mg 0.333 0.667 0.250  0.00
Mg 0.667 0.333 0.750  0.00
Ti 0.000 0.000 0.000  2.09
Ca 0.000 0.000 0.750  0.17
Ca 0.000 0.000 0.250  0.17



# 5
## LiReSn3 (GGA-PBE)

Data for an optimized crystal structure of LiReSn3.

Calculated values
offset from the most stable computed form: 0 meV/atom
mass density: 6325 kg/m3
total magnetization: 0.64 μB per cell
formation energy: 0.36 eV per atom

a b c (Å): 5.244 5.244 5.244
angles (deg): 90.00 90.00 90.00
Each line ends with the local moment (μB).
Fractional positions:
Sn 0.500 0.000 0.000  0.01
Li 0.500 0.500 0.500  0.03
Sn 0.000 0.500 0.000  0.02
Re 0.000 0.000 0.000  0.28
Sn 0.000 0.000 0.500  0.02



# 6
## CoTe3Pd (GGA-PBE)

Data for an optimized crystal structure of CoTe3Pd.

Calculated values
offset from the most stable computed form: 982 meV/atom
mass density: 6209 kg/m3
total magnetization: 2.67 μB per cell
energy relative to the elements, uncorrected: 856 meV per atom

a b c (Å): 5.273 5.273 5.273
angles (deg): 90.00 90.00 90.00
Each line ends with the local moment (μB).
Fractional positions:
Te 0.500 0.000 0.000  0.06
Te 0.000 0.000 0.500  0.06
Te 0.000 0.500 0.000  0.11
Co 0.500 0.500 0.500  2.21
Pd 0.000 0.000 0.000  0.01



# 7
## LiFeTe2 (GGA-PBE)

Data for an optimized crystal structure of LiFeTe2.

Calculated values
mass density: 5235 kg/m3
total magnetization: 0.71 μB per cell
energy relative to the elements, uncorrected: -157 meV per atom

a b c (Å): 8.406 8.406 8.406
angles (deg): 26.04 26.04 26.04
Each line ends with the local moment (μB).
Fractional positions:
Te 0.110 0.110 0.110  0.00
Li 0.000 0.000 0.000  0.00
Fe 0.500 0.500 0.500  0.72
Te 0.890 0.890 0.890  0.00



# 8
## KNpPb2Se4 (GGA-PBE)

Data for an optimized crystal structure of KNpPb2Se4.

Calculated values
mass density: 7030 kg/m3
total magnetization: 4.00 μB per cell
energy relative to the elements, uncorrected: -815 meV per atom

a b c (Å): 6.176 6.176 7.610
angles (deg): 113.95 113.95 89.99
Each line ends with the local moment (μB).
Fractional positions:
Se 0.756 0.756 0.512  -0.04
Pb 0.250 0.750 0.500  0.02
Se 0.244 0.244 0.488  -0.04
Pb 0.000 0.000 0.000  0.00
Se 0.519 0.019 0.037  -0.04
K 0.500 0.500 0.000  0.00
Se 0.981 0.481 0.963  -0.04
Np 0.750 0.250 0.500  3.96



# 9
## Cd2Sn2Hg (GGA-PBE)

Data for an optimized crystal structure of Cd2Sn2Hg.

Calculated values
offset from the most stable computed form: 54 meV/atom
mass density: 8388 kg/m3
total magnetization: 0.00 μB per cell
formation energy: 0.11 eV per atom

a b c (Å): 7.662 7.662 4.471
angles (deg): 90.00 90.00 90.00
Fractional positions:
Sn 0.335 0.835 0.500
Cd 0.363 0.137 0.000
Sn 0.165 0.335 0.500
Cd 0.137 0.637 0.000
Hg 0.000 0.000 0.000
Sn 0.665 0.165 0.500
Hg 0.500 0.500 0.000
Cd 0.637 0.863 0.000
Cd 0.863 0.363 0.000
Sn 0.835 0.665 0.500



# 10
## LiRe2Rh2 (GGA-PBE)

Data for an optimized crystal structure of LiRe2Rh2.

Calculated values
offset from the most stable computed form: 0 meV/atom
mass density: 12212 kg/m3
total magnetization: 0.00 μB per cell
formation energy: 0.08 eV per atom

a b c (Å): 7.696 7.696 2.687
angles (deg): 90.00 90.00 90.00
Fractional positions:
Rh 0.829 0.329 0.500
Re 0.381 0.881 0.000
Li 0.000 0.000 0.000
Re 0.881 0.619 0.000
Li 0.500 0.500 0.000
Re 0.119 0.381 0.000
Rh 0.329 0.171 0.500
Rh 0.171 0.671 0.500
Rh 0.671 0.829 0.500
Re 0.619 0.119 0.000



# 11
## LiHoLuAl (GGA-PBE)

Data for an optimized crystal structure of LiHoLuAl.

Calculated values
mass density: 6678 kg/m3
total magnetization: 0.00 μB per cell
formation energy: -0.21 eV per atom

a b c (Å): 5.085 5.085 5.085
angles (deg): 60.00 60.00 60.00
Fractional positions:
Lu 0.250 0.250 0.250
Li 0.000 0.000 0.000
Al 0.500 0.500 0.500
Ho 0.750 0.750 0.750



# 12
## AcPr3Dy2 (GGA-PBE)

Data for an optimized crystal structure of AcPr3Dy2.

Calculated values
offset from the most stable computed form: 288 meV/atom
mass density: 7329 kg/m3
total magnetization: 0.00 μB per cell
formation energy: 0.35 eV per atom

a b c (Å): 3.553 6.250 10.574
angles (deg): 107.19 99.67 90.00
Fractional positions:
Pr 0.000 0.500 0.000
Ac 0.000 0.000 0.000
Dy 0.361 0.361 0.723
Dy 0.639 0.639 0.277
Pr 0.809 0.809 0.618
Pr 0.191 0.191 0.382



# 13
## Ta2FeSbS (GGA-PBE)

Data for an optimized crystal structure of Ta2FeSbS.

Calculated values
offset from the most stable computed form: 0 meV/atom
mass density: 9427 kg/m3
total magnetization: 0.00 μB per cell
energy relative to the elements, uncorrected: 837 meV per atom

a b c (Å): 4.719 4.521 4.719
angles (deg): 90.00 90.00 90.00
Fractional positions:
Fe 0.000 0.000 0.000
Ta 0.000 0.000 0.500
Ta 0.500 0.000 0.000
Sb 0.000 0.500 0.000
S 0.500 0.500 0.500



# 14
## Na2PuTa2S6 (GGA-PBE)

Data for an optimized crystal structure of Na2PuTa2S6.

Calculated values
mass density: 5856 kg/m3
total magnetization: 5.56 μB per cell
energy relative to the elements, uncorrected: -1193 meV per atom

a b c (Å): 6.221 6.221 7.129
angles (deg): 96.66 96.66 117.13
Each line ends with the local moment (μB).
Fractional positions:
S 0.713 0.713 0.734  -0.02
Pu 0.000 0.000 0.500  4.98
S 0.577 0.940 0.293  -0.03
S 0.287 0.287 0.266  -0.02
Ta 0.357 0.643 0.500  0.18
Ta 0.643 0.357 0.500  0.18
S 0.940 0.577 0.293  -0.03
S 0.423 0.060 0.707  -0.03
S 0.060 0.423 0.707  -0.03
Na 0.172 0.828 0.000  0.00
Na 0.828 0.172 0.000  0.00



# 15
## Pm2Sn4PdRh3 (GGA-PBE)

Data for an optimized crystal structure of Pm2Sn4PdRh3.

Calculated values
mass density: 8971 kg/m3
total magnetization: 0.00 μB per cell
formation energy: -0.71 eV per atom

a b c (Å): 4.493 4.493 10.819
angles (deg): 90.00 90.00 90.00
Fractional positions:
Sn 0.500 0.000 0.632
Pd 0.500 0.500 0.500
Pm 0.000 0.500 0.753
Rh 0.500 0.000 0.869
Pm 0.500 0.000 0.247
Sn 0.000 0.500 0.368
Rh 0.000 0.500 0.131
Sn 0.000 0.000 0.000
Rh 0.000 0.000 0.500
Sn 0.500 0.500 0.000



# 16
## CsP2Ru (GGA-PBE)

Data for an optimized crystal structure of CsP2Ru.

Calculated values
offset from the most stable computed form: 1336 meV/atom
mass density: 6266 kg/m3
total magnetization: 0.00 μB per cell
formation energy: 1.09 eV per atom

a b c (Å): 4.804 4.804 4.804
angles (deg): 60.00 60.00 60.00
Fractional positions:
Ru 0.000 0.000 0.000
P 0.250 0.250 0.250
Cs 0.500 0.500 0.500
P 0.750 0.750 0.750



# 17
## Pu2ReNiN5 (GGA-PBE)

Data for an optimized crystal structure of Pu2ReNiN5.

Calculated values
mass density: 13098 kg/m3
total magnetization: 13.07 μB per cell
energy relative to the elements, uncorrected: -489 meV per atom

a b c (Å): 3.202 6.690 9.788
angles (deg): 90.00 90.00 103.84
Each line ends with the local moment (μB).
Fractional positions:
N 0.643 0.286 0.504  -0.19
N 0.509 0.017 0.277  -0.28
N 0.290 0.581 0.651  -0.17
N 0.357 0.714 0.004  -0.19
N 0.693 0.387 0.861  -0.19
N 0.053 0.106 0.059  -0.12
Pu 0.140 0.279 0.302  4.04
Pu 0.113 0.225 0.690  4.27
Pu 0.887 0.775 0.190  4.27
N 0.947 0.894 0.559  -0.12
Ni 0.504 0.009 0.971  -0.67
Re 0.803 0.607 0.509  -0.07
Ni 0.496 0.991 0.471  -0.67
N 0.307 0.613 0.361  -0.19
N 0.491 0.983 0.777  -0.28
Re 0.197 0.393 0.009  -0.07
N 0.710 0.419 0.151  -0.17
Pu 0.860 0.721 0.802  4.04



# 18
## BaCeSeO6 (GGA-PBE)

Data for an optimized crystal structure of BaCeSeO6.

Calculated values
mass density: 4962 kg/m3
total magnetization: 0.00 μB per cell
energy relative to the elements, uncorrected: -2011 meV per atom

a b c (Å): 5.593 5.593 5.588
angles (deg): 90.00 90.00 60.00
Fractional positions:
Ce 0.667 0.667 0.500
O 0.056 0.350 0.311
O 0.350 0.056 0.689
O 0.594 0.350 0.689
Ba 0.000 0.000 0.000
O 0.056 0.594 0.689
O 0.350 0.594 0.311
Se 0.333 0.333 0.500
O 0.594 0.056 0.311



# 19
## Ca2Ga2AgPt5 (GGA-PBE)

Data for an optimized crystal structure of Ca2Ga2AgPt5.

Calculated values
mass density: 12075 kg/m3
total magnetization: 0.00 μB per cell
formation energy: -0.70 eV per atom

a b c (Å): 3.783 9.732 9.732
angles (deg): 90.00 90.00 90.00
Fractional positions:
Pt 0.500 0.066 0.794
Ga 0.000 0.624 0.876
Pt 0.500 0.434 0.294
Pt 0.500 0.206 0.066
Ca 0.000 0.175 0.325
Ag 0.000 0.500 0.500
Pt 0.500 0.566 0.706
Ag 0.000 0.000 0.000
Ga 0.000 0.124 0.624
Pt 0.500 0.000 0.500
Pt 0.500 0.794 0.934
Pt 0.500 0.934 0.206
Ga 0.000 0.376 0.124
Ga 0.000 0.876 0.376
Ca 0.000 0.675 0.175
Pt 0.500 0.500 0.000
Pt 0.500 0.706 0.434
Pt 0.500 0.294 0.566
Ca 0.000 0.325 0.825
Ca 0.000 0.825 0.675



# 20
## Ce12TcGe6 (GGA-PBE)

Data for an optimized crystal structure of Ce12TcGe6.

Calculated values
mass density: 7744 kg/m3
total magnetization: 7.53 μB per cell
formation energy: -0.40 eV per atom

a b c (Å): 7.838 7.838 7.838
angles (deg): 95.28 95.28 95.28
Each line ends with the local moment (μB).
Fractional positions:
Ce 0.008 0.912 0.656  0.48
Tc 0.000 0.000 0.000  -0.10
Ce 0.840 0.572 0.468  0.63
Ce 0.572 0.468 0.840  0.63
Ce 0.088 0.344 0.992  0.48
Ce 0.912 0.656 0.008  0.48
Ce 0.992 0.088 0.344  0.48
Ce 0.656 0.008 0.912  0.48
Ge 0.260 0.676 0.837  -0.02
Ge 0.324 0.163 0.740  -0.02
Ce 0.428 0.532 0.160  0.63
Ge 0.163 0.740 0.324  -0.02
Ce 0.344 0.992 0.088  0.48
Ge 0.676 0.837 0.260  -0.02
Ce 0.160 0.428 0.532  0.63
Ge 0.837 0.260 0.676  -0.02
Ce 0.468 0.840 0.572  0.63
Ge 0.740 0.324 0.163  -0.02
Ce 0.532 0.160 0.428  0.63